Entry 1:
This record from Alexandria via LeMat-Bulk describes SrPrTaN3 after structural relaxation. The functional is GGA-PBE.

Calculated values
Energy relative to the elements, uncorrected in eV/atom: -1.0366
Fermi-level density of states in states/eV per atom: 0.001
Space-group type: C2/m, No. 12

Cell: 4.076 7.224 7.380 Å, 104.73 90.00 106.39°
Fractional coordinates of all 12 atoms:
Sr1 0.349 0.698 0.925
Sr2 0.651 0.302 0.075
Pr1 0.657 0.314 0.582
Pr2 0.343 0.686 0.418
Ta1 0.001 0.002 0.285
Ta2 0.999 0.998 0.715
N1 0.850 0.700 0.183
N2 0.843 0.687 0.666
N3 0.504 0.008 0.296
N4 0.157 0.313 0.334
N5 0.496 0.992 0.704
N6 0.150 0.300 0.817

---

Entry 2:
This record from Alexandria via LeMat-Bulk describes Sr2Li3MgGe4 after structural relaxation. The functional is GGA-PBE.

Calculated values
Fermi-level density of states in states/eV per atom: 0.772
Energy relative to the elements in meV/atom: -382
Space-group type: P-4m2, No. 115

Cell: 4.378 4.378 11.372 Å, 90.00 90.00 90.00°
Fractional coordinates of all 10 atoms:
Sr1 0.500 0.000 0.242
Sr2 0.000 0.500 0.758
Li1 0.000 0.000 0.500
Li2 0.500 0.000 0.870
Li3 0.000 0.500 0.130
Mg1 0.500 0.500 0.500
Ge1 0.500 0.500 0.000
Ge2 0.000 0.000 0.000
Ge3 0.500 0.000 0.642
Ge4 0.000 0.500 0.358

---

Entry 3:
This record from Alexandria via LeMat-Bulk describes HoTh3Pt4 after structural relaxation. The functional is GGA-PBE.

Calculated values
Fermi-level density of states in states/eV per atom: 0.440
Energy relative to the elements in meV/atom: -1212
Space-group type: P2/c, No. 13

Cell: 7.177 7.220 8.378 Å, 90.00 90.00 109.77°
Fractional coordinates of all 16 atoms:
Pt1 0.999 0.249 0.625
Pt2 0.500 0.248 0.877
Pt3 0.499 0.249 0.375
Pt4 0.000 0.248 0.123
Pt5 0.000 0.752 0.877
Pt6 0.501 0.751 0.625
Pt7 0.500 0.752 0.123
Pt8 0.001 0.751 0.375
Ho1 0.750 0.000 0.875
Ho2 0.250 0.000 0.125
Th1 0.750 0.000 0.373
Th2 0.250 0.000 0.627
Th3 0.750 0.500 0.627
Th4 0.750 0.500 0.124
Th5 0.250 0.500 0.373
Th6 0.250 0.500 0.876

---

Entry 4:
This record from Alexandria via LeMat-Bulk describes LiHg2Rh after structural relaxation. The functional is GGA-PBE.

Calculated values
Fermi-level density of states in states/eV per atom: 0.388
Energy relative to the elements in meV/atom: -75
Space-group type: P2/m, No. 10

Cell: 3.214 5.373 5.573 Å, 49.81 90.00 90.00°
Fractional coordinates of all 4 atoms:
Hg1 0.000 0.000 0.000
Hg2 0.500 0.500 0.000
Li1 0.500 0.500 0.500
Rh1 0.000 0.000 0.500